Below is a relaxed structure of Li4InAu, with properties calculated at the PBE level.

Geometry as extended XYZ:
```
6
Lattice="4.111 0.000 0.000 0.000 4.111 0.000 0.000 0.000 7.477" Properties=species:S:1:pos:R:3 pbc="T T T"
Li 0.000 2.056 1.674
Li 0.000 2.056 5.803
Li 2.056 0.000 1.674
Li 2.056 0.000 5.803
In 0.000 0.000 3.739
Au 2.056 2.056 0.000
```

Offset from the most stable computed form (kJ/mol of formula units): 92.0